No. 1
Below is a relaxed MgTaNiSb2 crystal, with properties calculated at the PBE level.

Results
- DOS at the Fermi energy: 1.41 states/eV/atom
- Crystal system: tetragonal
- SG: P4/mmm, No. 123
- Formation energy without anion corrections: 1234 meV/atom
- DFT total energy: -4.26 eV per atom

The structure in extended XYZ format:
```
5
Lattice="5.155 0.000 0.000 0.000 5.155 0.000 0.000 0.000 4.246" Properties=species:S:1:pos:R:3 pbc="T T T"
Mg 0.000 0.000 0.000
Ta 2.578 2.578 2.123
Ni 0.000 0.000 2.123
Sb 0.000 2.578 0.000
Sb 2.578 0.000 0.000
```

***

No. 2
Below is a relaxed Tl2CrGe crystal, with properties calculated at the PBE level.

Results
- DOS at the Fermi energy: 0.61 states/eV/atom
- Crystal system: tetragonal
- SG: I4_1/amd, No. 141
- Formation energy: 46.0 kJ/mol of atoms
- DFT total energy: -4.27 eV per atom

The structure in extended XYZ format:
```
16
Lattice="10.440 0.000 0.000 0.000 10.440 0.000 0.000 0.000 4.709" Properties=species:S:1:pos:R:3 pbc="T T T"
Tl 0.000 0.000 0.000
Tl 0.000 5.220 0.000
Tl 2.610 2.610 3.531
Tl 2.610 7.830 1.177
Tl 5.220 0.000 2.354
Tl 5.220 5.220 2.354
Tl 7.830 2.610 3.531
Tl 7.830 7.830 1.177
Cr 0.000 2.610 4.120
Cr 0.000 7.830 0.589
Cr 5.220 2.610 2.943
Cr 5.220 7.830 1.766
Ge 0.000 2.610 1.766
Ge 0.000 7.830 2.943
Ge 5.220 2.610 0.589
Ge 5.220 7.830 4.120
```

***

No. 3
Below is a relaxed Ag2PdI2 crystal, with properties calculated at the PBE level.

Results
- DOS at the Fermi energy: 0.20 states/eV/atom
- Crystal system: tetragonal
- SG: I4/mmm, No. 139
- Formation energy without anion corrections: 285 meV/atom
- DFT total energy: -2.51 eV per atom

The structure in extended XYZ format:
```
10
Lattice="4.041 0.000 0.000 0.000 4.041 0.000 0.000 0.000 15.900" Properties=species:S:1:pos:R:3 pbc="T T T"
Ag 0.000 2.020 3.975
Ag 0.000 2.020 11.925
Ag 2.020 0.000 3.975
Ag 2.020 0.000 11.925
Pd 0.000 0.000 0.000
Pd 2.020 2.020 7.950
I 0.000 0.000 6.173
I 0.000 0.000 9.727
I 2.020 2.020 1.777
I 2.020 2.020 14.123
```

***

No. 4
Below is a relaxed CrPt12Rh3 crystal, with properties calculated at the PBE level.

Results
- DOS at the Fermi energy: 1.78 states/eV/atom
- Crystal system: tetragonal
- SG: P4/mmm, No. 123
- Formation energy: -8.0 kJ/mol of atoms
- DFT total energy: -6.59 eV per atom

The structure in extended XYZ format:
```
16
Lattice="3.926 0.000 0.000 0.000 3.926 0.000 0.000 0.000 15.802" Properties=species:S:1:pos:R:3 pbc="T T T"
Cr 0.000 0.000 0.000
Pt 0.000 1.963 1.930
Pt 0.000 1.963 5.922
Pt 0.000 1.963 9.880
Pt 0.000 1.963 13.872
Pt 1.963 0.000 1.930
Pt 1.963 0.000 5.922
Pt 1.963 0.000 9.880
Pt 1.963 0.000 13.872
Pt 1.963 1.963 0.000
Pt 1.963 1.963 3.918
Pt 1.963 1.963 7.901
Pt 1.963 1.963 11.884
Rh 0.000 0.000 3.964
Rh 0.000 0.000 7.901
Rh 0.000 0.000 11.839
```

***

No. 5
Below is a relaxed K4Cu3AuF12 crystal, with properties calculated at the PBE level.

Results
- DOS at the Fermi energy: 0.35 states/eV/atom
- Crystal system: cubic
- SG: Im-3m, No. 229
- Formation energy without anion corrections: -1983 meV/atom
- DFT total energy: -4.10 eV per atom

The structure in extended XYZ format:
```
20
Lattice="-4.174 4.174 4.174 4.174 -4.174 4.174 4.174 4.174 -4.174" Properties=species:S:1:pos:R:3 pbc="T T T"
K 2.087 2.087 -2.087
K 2.087 -2.087 2.087
K -2.087 2.087 2.087
K 2.087 2.087 2.087
Cu 4.174 0.000 0.000
Cu 0.000 4.174 0.000
Cu 0.000 0.000 4.174
Au 0.000 0.000 0.000
F 2.234 0.000 0.000
F 6.113 0.000 0.000
F 4.174 2.087 0.000
F 4.174 0.000 2.087
F 0.000 2.234 0.000
F 0.000 0.000 2.234
F 2.087 4.174 0.000
F 2.087 0.000 4.174
F 0.000 6.113 0.000
F 0.000 0.000 6.113
F 0.000 4.174 2.087
F 0.000 2.087 4.174
```

***

No. 6
Below is a relaxed SrTlPt3 crystal, with properties calculated at the PBE level.

Results
- DOS at the Fermi energy: 2.13 states/eV/atom
- Crystal system: cubic
- SG: Pm-3m, No. 221
- Formation energy: 115.3 kJ/mol of atoms
- DFT total energy: -3.24 eV per atom

The structure in extended XYZ format:
```
5
Lattice="5.343 0.000 0.000 0.000 5.343 0.000 0.000 0.000 5.343" Properties=species:S:1:pos:R:3 pbc="T T T"
Sr 0.000 0.000 0.000
Tl 2.672 2.672 2.672
Pt 0.000 0.000 2.672
Pt 0.000 2.672 0.000
Pt 2.672 0.000 0.000
```

***

No. 7
Below is a relaxed HfAsW crystal, with properties calculated at the PBE level.

Results
- DOS at the Fermi energy: 0.56 states/eV/atom
- Crystal system: monoclinic
- SG: Cm, No. 8
- Formation energy: -24.3 kJ/mol of atoms
- DFT total energy: -9.44 eV per atom

The structure in extended XYZ format:
```
12
Lattice="9.918 0.000 0.000 0.000 3.447 0.000 -2.815 0.000 6.486" Properties=species:S:1:pos:R:3 pbc="T T T"
Hf 0.000 0.000 0.000
Hf -0.008 0.000 4.096
Hf 4.959 1.724 0.000
Hf 4.951 1.724 4.096
As -0.705 1.724 1.988
As -0.642 1.724 6.184
As 4.254 0.000 1.988
As 4.317 0.000 6.184
W 2.004 1.724 2.293
W 2.617 0.000 4.143
W 6.963 0.000 2.293
W 7.576 1.724 4.143
```

***

No. 8
Below is a relaxed AgSe2Br6 crystal, with properties calculated at the PBE level.

Results
- DOS at the Fermi energy: 0.75 states/eV/atom
- Crystal system: monoclinic
- SG: C2/c, No. 15
- Formation energy without anion corrections: -74 meV/atom
- DFT total energy: -2.28 eV per atom

The structure in extended XYZ format:
```
18
Lattice="9.066 -5.951 0.000 9.066 5.951 0.000 -2.307 0.000 7.557" Properties=species:S:1:pos:R:3 pbc="T T T"
Ag 8.490 -5.949 1.889
Ag 7.336 5.949 5.668
Se 5.958 0.192 4.707
Se 7.112 -0.192 0.929
Se 8.714 0.192 6.628
Se 9.868 -0.192 2.850
Br 0.533 0.031 4.272
Br 1.686 -0.031 0.494
Br 3.641 0.591 4.606
Br 6.754 1.766 2.987
Br 4.795 -0.591 0.827
Br 10.225 1.766 0.791
Br 5.600 -1.766 6.766
Br 11.031 0.591 6.730
Br 9.072 -1.766 4.570
Br 12.184 -0.591 2.951
Br 14.139 0.031 7.063
Br 15.293 -0.031 3.285
```

***

No. 9
Below is a relaxed ZnGeRu crystal, with properties calculated at the PBE level.

Results
- DOS at the Fermi energy: 0.20 states/eV/atom
- Crystal system: tetragonal
- SG: I4mm, No. 107
- Formation energy: -16.6 kJ/mol of atoms
- DFT total energy: -5.23 eV per atom

The structure in extended XYZ format:
```
6
Lattice="3.184 0.000 0.000 0.000 3.184 0.000 0.000 0.000 8.498" Properties=species:S:1:pos:R:3 pbc="T T T"
Zn 0.000 0.000 0.000
Zn 1.592 1.592 4.249
Ge 0.000 0.000 2.761
Ge 1.592 1.592 7.010
Ru 0.000 0.000 5.730
Ru 1.592 1.592 1.482
```

***

No. 10
Below is a relaxed Cs2WSe crystal, with properties calculated at the PBE level.

Results
- DOS at the Fermi energy: 0.50 states/eV/atom
- Crystal system: tetragonal
- SG: I-42d, No. 122
- Formation energy without anion corrections: 1333 meV/atom
- DFT total energy: -3.20 eV per atom

The structure in extended XYZ format:
```
16
Lattice="5.130 0.000 0.000 0.000 5.130 0.000 0.000 0.000 24.282" Properties=species:S:1:pos:R:3 pbc="T T T"
Cs 1.254 1.282 3.035
Cs 1.282 3.819 9.106
Cs 1.282 3.875 21.247
Cs 1.311 1.282 15.176
Cs 3.819 3.847 15.176
Cs 3.847 1.254 21.247
Cs 3.847 1.311 9.106
Cs 3.875 3.847 3.035
W 0.000 0.000 12.141
W 0.000 2.565 18.212
W 2.565 0.000 6.071
W 2.565 2.565 0.000
Se 0.000 0.000 0.000
Se 0.000 2.565 6.071
Se 2.565 0.000 18.212
Se 2.565 2.565 12.141
```

***

No. 11
Below is a relaxed NpAgBr2F6 crystal, with properties calculated at the PBE level.

Results
- DOS at the Fermi energy: 1.79 states/eV/atom
- Crystal system: monoclinic
- SG: C2/m, No. 12
- Formation energy without anion corrections: -1936 meV/atom
- DFT total energy: -4.97 eV per atom

The structure in extended XYZ format:
```
10
Lattice="5.718 -3.308 0.000 5.718 3.308 0.000 -3.791 0.000 5.397" Properties=species:S:1:pos:R:3 pbc="T T T"
Np 0.000 0.000 0.000
Ag 3.823 0.000 2.698
Br 0.025 0.000 4.047
Br 7.620 0.000 1.349
F 1.679 0.000 1.182
F 4.883 1.855 1.188
F 2.763 1.855 4.208
F 4.883 -1.855 1.188
F 2.763 -1.855 4.208
F 5.966 0.000 4.214
```

***

No. 12
Below is a relaxed Th2UC3 crystal, with properties calculated at the PBE level.

Results
- DOS at the Fermi energy: 0.97 states/eV/atom
- Crystal system: tetragonal
- SG: I4/mmm, No. 139
- Formation energy: -20.7 kJ/mol of atoms
- DFT total energy: -9.18 eV per atom

The structure in extended XYZ format:
```
12
Lattice="3.666 0.000 0.000 0.000 3.666 0.000 0.000 0.000 15.727" Properties=species:S:1:pos:R:3 pbc="T T T"
Th 0.000 0.000 2.575
Th 0.000 0.000 13.152
Th 1.833 1.833 5.289
Th 1.833 1.833 10.438
U 0.000 0.000 7.864
U 1.833 1.833 0.000
C 0.000 0.000 0.000
C 0.000 0.000 5.612
C 0.000 0.000 10.115
C 1.833 1.833 2.251
C 1.833 1.833 7.864
C 1.833 1.833 13.476
```